# 1
# Y3Ga3Os GGA-PBE optimized geometry
data_Y3Ga3Os
_chemical_formula_sum 'Y12 Ga12 Os4'
_cell_length_a 10.973
_cell_length_b 4.208
_cell_length_c 14.276
_cell_angle_alpha 90.00
_cell_angle_beta 109.58
_cell_angle_gamma 90.00
_symmetry_space_group_name_H-M 'C 1 2/m 1'
_symmetry_Int_Tables_number 12
loop_
_symmetry_equiv_pos_as_xyz
'x,y,z'
'-x,-y,-z'
'-x,y,-z'
'x,-y,z'
'x+1/2,y+1/2,z'
'-x+1/2,-y+1/2,-z'
'-x+1/2,y+1/2,-z'
'x+1/2,-y+1/2,z'
loop_
_atom_site_label
_atom_site_type_symbol
_atom_site_fract_x
_atom_site_fract_y
_atom_site_fract_z
Y1 Y 0.029 0.000 0.382
Y2 Y 0.108 0.000 0.923
Y3 Y 0.241 0.000 0.239
Ga1 Ga 0.035 0.500 0.233
Ga2 Ga 0.109 0.500 0.076
Ga3 Ga 0.137 0.500 0.539
Os1 Os 0.238 0.500 0.397
# Uncorrected energy, eV/atom: -6.22



# 2
# AcYGa4 GGA-PBE optimized geometry
data_AcYGa4
_chemical_formula_sum 'Ac4 Y4 Ga16'
_cell_length_a 8.094
_cell_length_b 8.094
_cell_length_c 8.094
_cell_angle_alpha 90.00
_cell_angle_beta 90.00
_cell_angle_gamma 90.00
_symmetry_space_group_name_H-M 'F -4 3 m'
_symmetry_Int_Tables_number 216
_symmetry_space_group_name_Hall 'F -4 2 3'
loop_
_atom_site_label
_atom_site_type_symbol
_atom_site_fract_x
_atom_site_fract_y
_atom_site_fract_z
Ac1 Ac 0.000 0.000 0.000
Y1 Y 0.250 0.250 0.750
Ga1 Ga 0.125 0.125 0.375
# Uncorrected energy, eV/atom: -4.24



# 3
# Y2AlSi2Ru5 GGA-PBE optimized geometry
data_Y2AlSi2Ru5
_chemical_formula_sum 'Y4 Al2 Si4 Ru10'
_cell_length_a 9.966
_cell_length_b 9.966
_cell_length_c 3.233
_cell_angle_alpha 90.00
_cell_angle_beta 90.00
_cell_angle_gamma 90.00
_symmetry_space_group_name_H-M 'P 4/m b m'
_symmetry_Int_Tables_number 127
_symmetry_space_group_name_Hall '-P 4 2ab'
loop_
_atom_site_label
_atom_site_type_symbol
_atom_site_fract_x
_atom_site_fract_y
_atom_site_fract_z
Y1 Y 0.173 0.327 0.000
Al1 Al 0.000 0.000 0.000
Si1 Si 0.128 0.628 0.000
Ru1 Ru 0.000 0.500 0.500
Ru2 Ru 0.067 0.794 0.500
# Uncorrected energy, eV/atom: -8.05
# Formation energy from raw total energies, eV/atom: -0.6570



# 4
# PrIO4 GGA-PBE optimized geometry
data_PrIO4
_chemical_formula_sum 'Pr4 I4 O16'
_cell_length_a 7.643
_cell_length_b 7.643
_cell_length_c 7.172
_cell_angle_alpha 90.00
_cell_angle_beta 90.00
_cell_angle_gamma 90.00
_symmetry_space_group_name_H-M 'I 41/a m d'
_symmetry_Int_Tables_number 141
loop_
_symmetry_equiv_pos_as_xyz
'x,y,z'
'-x,-y,-z'
'-y+1/4,x+3/4,z+1/4'
'y+1/4,-x+3/4,-z+1/4'
'-x+1/2,-y,z+1/2'
'x+1/2,y,-z+1/2'
'y+1/4,-x+1/4,z+3/4'
'-y+1/4,x+1/4,-z+3/4'
'x,-y,-z'
'-x,y,z'
'-y+1/4,-x+1/4,-z+3/4'
'y+1/4,x+1/4,z+3/4'
'-x+1/2,y,-z+1/2'
'x+1/2,-y,z+1/2'
'y+1/4,x+3/4,-z+1/4'
'-y+1/4,-x+3/4,z+1/4'
'x+1/2,y+1/2,z+1/2'
'-x+1/2,-y+1/2,-z+1/2'
'-y+3/4,x+1/4,z+3/4'
'y+3/4,-x+1/4,-z+3/4'
'-x,-y+1/2,z'
'x,y+1/2,-z'
'y+3/4,-x+3/4,z+1/4'
'-y+3/4,x+3/4,-z+1/4'
'x+1/2,-y+1/2,-z+1/2'
'-x+1/2,y+1/2,z+1/2'
'-y+3/4,-x+3/4,-z+1/4'
'y+3/4,x+3/4,z+1/4'
'-x,y+1/2,-z'
'x,-y+1/2,z'
'y+3/4,x+1/4,-z+3/4'
'-y+3/4,-x+1/4,z+3/4'
loop_
_atom_site_label
_atom_site_type_symbol
_atom_site_fract_x
_atom_site_fract_y
_atom_site_fract_z
Pr1 Pr 0.000 0.250 0.375
I1 I 0.000 0.250 0.875
O1 O 0.000 0.066 0.680
# Uncorrected energy, eV/atom: -5.83
# Formation energy from raw total energies, eV/atom: -1.4712



# 5
# Ac2Zn17 GGA-PBE optimized geometry
data_Ac2Zn17
_chemical_formula_sum 'Ac6 Zn51'
_cell_length_a 9.2467
_cell_length_b 9.2467
_cell_length_c 13.5276
_cell_angle_alpha 90.00
_cell_angle_beta 90.00
_cell_angle_gamma 120.00
_symmetry_space_group_name_H-M 'R -3 m'
_symmetry_Int_Tables_number 166
_symmetry_space_group_name_Hall '-R 3 2"'
loop_
_atom_site_label
_atom_site_type_symbol
_atom_site_fract_x
_atom_site_fract_y
_atom_site_fract_z
Ac1 Ac 0.0000 0.0000 0.1627
Zn1 Zn 0.0000 0.0000 0.4029
Zn2 Zn 0.0000 0.2863 0.5000
Zn3 Zn 0.0000 0.5000 0.0000
Zn4 Zn 0.0046 0.5023 0.6556
# Uncorrected energy, eV/atom: -1.80



# 6
# Tl2Sn2HgPb2 GGA-PBE optimized geometry
data_Tl2Sn2HgPb2
_chemical_formula_sum 'Tl4 Sn4 Hg2 Pb4'
_cell_length_a 17.272
_cell_length_b 3.302
_cell_length_c 8.181
_cell_angle_alpha 90.00
_cell_angle_beta 116.40
_cell_angle_gamma 90.00
_symmetry_space_group_name_H-M 'C 1 2/m 1'
_symmetry_Int_Tables_number 12
loop_
_symmetry_equiv_pos_as_xyz
'x,y,z'
'-x,-y,-z'
'-x,y,-z'
'x,-y,z'
'x+1/2,y+1/2,z'
'-x+1/2,-y+1/2,-z'
'-x+1/2,y+1/2,-z'
'x+1/2,-y+1/2,z'
loop_
_atom_site_label
_atom_site_type_symbol
_atom_site_fract_x
_atom_site_fract_y
_atom_site_fract_z
Tl1 Tl 0.208 0.000 0.288
Sn1 Sn 0.070 0.500 0.420
Hg1 Hg 0.000 0.000 0.000
Pb1 Pb 0.137 0.500 0.864
# Uncorrected energy, eV/atom: -2.85



# 7
# TaWCl2 GGA-PBE optimized geometry
data_TaWCl2
_chemical_formula_sum 'Ta2 W2 Cl4'
_cell_length_a 4.069
_cell_length_b 4.069
_cell_length_c 8.015
_cell_angle_alpha 90.00
_cell_angle_beta 90.00
_cell_angle_gamma 90.00
_symmetry_space_group_name_H-M 'I 4/m m m'
_symmetry_Int_Tables_number 139
_symmetry_space_group_name_Hall '-I 4 2'
loop_
_atom_site_label
_atom_site_type_symbol
_atom_site_fract_x
_atom_site_fract_y
_atom_site_fract_z
Ta1 Ta 0.000 0.000 0.000
W1 W 0.000 0.000 0.500
Cl1 Cl 0.000 0.500 0.250
# Uncorrected energy, eV/atom: -5.97
# Formation energy from raw total energies, eV/atom: 1.1567



# 8
# CaVP2S GGA-PBE optimized geometry
data_CaVP2S
_chemical_formula_sum 'Ca1 V1 P2 S1'
_cell_length_a 4.445
_cell_length_b 4.445
_cell_length_c 5.134
_cell_angle_alpha 90.00
_cell_angle_beta 90.00
_cell_angle_gamma 90.00
_symmetry_space_group_name_H-M 'P 4/m m m'
_symmetry_Int_Tables_number 123
_symmetry_space_group_name_Hall '-P 4 2'
loop_
_atom_site_label
_atom_site_type_symbol
_atom_site_fract_x
_atom_site_fract_y
_atom_site_fract_z
Ca1 Ca 0.000 0.000 0.000
V1 V 0.500 0.500 0.500
P1 P 0.000 0.500 0.500
S1 S 0.500 0.500 0.000
# Uncorrected energy, eV/atom: -5.74
# Formation energy from raw total energies, eV/atom: -0.5233



# 9
# PaPd3 GGA-PBE optimized geometry
data_PaPd3
_chemical_formula_sum 'Pa2 Pd6'
_cell_length_a 5.7322
_cell_length_b 5.7322
_cell_length_c 5.0673
_cell_angle_alpha 90.00
_cell_angle_beta 90.00
_cell_angle_gamma 120.00
_symmetry_space_group_name_H-M 'P 63/m m c'
_symmetry_Int_Tables_number 194
_symmetry_space_group_name_Hall '-P 6c 2c'
loop_
_atom_site_label
_atom_site_type_symbol
_atom_site_fract_x
_atom_site_fract_y
_atom_site_fract_z
Pa1 Pa 0.3333 0.6667 0.2500
Pd1 Pd 0.1648 0.3296 0.7500
# Uncorrected energy, eV/atom: -7.03



# 10
# CaPmH4 GGA-PBE optimized geometry
data_CaPmH4
_chemical_formula_sum 'Ca4 Pm4 H16'
_cell_length_a 5.407
_cell_length_b 5.407
_cell_length_c 10.810
_cell_angle_alpha 90.00
_cell_angle_beta 90.00
_cell_angle_gamma 90.00
_symmetry_space_group_name_H-M 'I 41/a m d'
_symmetry_Int_Tables_number 141
loop_
_symmetry_equiv_pos_as_xyz
'x,y,z'
'-x,-y,-z'
'-y+1/4,x+3/4,z+1/4'
'y+1/4,-x+3/4,-z+1/4'
'-x+1/2,-y,z+1/2'
'x+1/2,y,-z+1/2'
'y+1/4,-x+1/4,z+3/4'
'-y+1/4,x+1/4,-z+3/4'
'x,-y,-z'
'-x,y,z'
'-y+1/4,-x+1/4,-z+3/4'
'y+1/4,x+1/4,z+3/4'
'-x+1/2,y,-z+1/2'
'x+1/2,-y,z+1/2'
'y+1/4,x+3/4,-z+1/4'
'-y+1/4,-x+3/4,z+1/4'
'x+1/2,y+1/2,z+1/2'
'-x+1/2,-y+1/2,-z+1/2'
'-y+3/4,x+1/4,z+3/4'
'y+3/4,-x+1/4,-z+3/4'
'-x,-y+1/2,z'
'x,y+1/2,-z'
'y+3/4,-x+3/4,z+1/4'
'-y+3/4,x+3/4,-z+1/4'
'x+1/2,-y+1/2,-z+1/2'
'-x+1/2,y+1/2,z+1/2'
'-y+3/4,-x+3/4,-z+1/4'
'y+3/4,x+3/4,z+1/4'
'-x,y+1/2,-z'
'x,-y+1/2,z'
'y+3/4,x+1/4,-z+3/4'
'-y+3/4,-x+1/4,z+3/4'
loop_
_atom_site_label
_atom_site_type_symbol
_atom_site_fract_x
_atom_site_fract_y
_atom_site_fract_z
Ca1 Ca 0.000 0.250 0.375
Pm1 Pm 0.000 0.250 0.875
H1 H 0.245 0.000 0.000
# Uncorrected energy, eV/atom: -3.96



# 11
# CaMn2Te GGA-PBE optimized geometry
data_CaMn2Te
_chemical_formula_sum 'Ca1 Mn2 Te1'
_cell_length_a 4.289
_cell_length_b 4.289
_cell_length_c 4.702
_cell_angle_alpha 90.00
_cell_angle_beta 90.00
_cell_angle_gamma 90.00
_symmetry_space_group_name_H-M 'P 4/m m m'
_symmetry_Int_Tables_number 123
_symmetry_space_group_name_Hall '-P 4 2'
loop_
_atom_site_label
_atom_site_type_symbol
_atom_site_fract_x
_atom_site_fract_y
_atom_site_fract_z
Ca1 Ca 0.000 0.000 0.000
Mn1 Mn 0.000 0.500 0.500
Te1 Te 0.500 0.500 0.000
# Uncorrected energy, eV/atom: -5.72
# Formation energy from raw total energies, eV/atom: 0.1477



# 12
# In2AgPd4 GGA-PBE optimized geometry
data_In2AgPd4
_chemical_formula_sum 'In4 Ag2 Pd8'
_cell_length_a 4.907
_cell_length_b 4.907
_cell_length_c 13.474
_cell_angle_alpha 90.00
_cell_angle_beta 90.00
_cell_angle_gamma 90.00
_symmetry_space_group_name_H-M 'I 4/m m m'
_symmetry_Int_Tables_number 139
_symmetry_space_group_name_Hall '-I 4 2'
loop_
_atom_site_label
_atom_site_type_symbol
_atom_site_fract_x
_atom_site_fract_y
_atom_site_fract_z
In1 In 0.000 0.000 0.114
Ag1 Ag 0.000 0.000 0.500
Pd1 Pd 0.000 0.000 0.305
Pd2 Pd 0.000 0.500 0.000
# Uncorrected energy, eV/atom: -3.79